(1)
A relaxed structure of Mg2TaFe. Source: Alexandria via LeMat-Bulk, functional GGA-PBE.

POSCAR file:
```
Mg2TaFe
1.0
1.5191 0.8770 9.2060
-1.5191 0.8770 9.2060
0.0000 -1.7541 9.2060
Mg Ta Fe
2 1 1
Cartesian
0.0000 0.0000 0.0000
0.0000 0.0000 6.4625
0.0000 0.0000 20.9864
0.0000 0.0000 13.5042
```

Values from the calculation:
Energy of formation in eV per atom: 0.2280
Total moment in μB/f.u.: 1.2
Offset from the most stable computed form in eV/atom: 0.138

=====

(2)
A relaxed structure of K3SmNb2O9. Source: Alexandria via LeMat-Bulk, functional GGA-PBE.

POSCAR file:
```
K3SmNb2O9
1.0
6.0030 0.0000 0.0000
-3.0015 5.1988 0.0000
0.0000 0.0000 7.4274
K Sm Nb O
3 1 2 9
Cartesian
0.0000 0.0000 0.0000
0.0000 3.4659 5.0509
3.0015 1.7329 2.3766
0.0000 0.0000 3.7137
0.0000 3.4659 1.2839
3.0015 1.7329 6.1435
-1.5008 2.5994 0.0000
0.0000 1.8358 2.3060
-1.4117 4.2809 2.3060
1.5899 0.9179 5.1214
3.0015 0.0000 0.0000
1.5008 2.5994 0.0000
1.4117 4.2809 2.3060
4.4132 0.9179 5.1214
3.0015 3.3630 5.1214
```

Values from the calculation:
Total moment in μB/f.u.: 2.1
Formation energy without anion corrections in meV/atom: -2274.5

=====

(3)
A relaxed structure of La2InSi. Source: Alexandria via LeMat-Bulk, functional GGA-PBE.

POSCAR file:
```
La2InSi
1.0
-2.5194 2.5194 4.3618
2.5194 -2.5194 4.3618
2.5194 2.5194 -4.3618
La In Si
2 1 1
Cartesian
2.5194 0.0000 2.1809
0.0000 2.5194 2.1809
0.0000 0.0000 0.0000
0.0000 0.0000 4.3618
```

Values from the calculation:
Total moment in μB/f.u.: 0.0
Formation energy without anion corrections in meV/atom: -454.2

=====

(4)
A relaxed structure of LiSn2Ge2. Source: Alexandria via LeMat-Bulk, functional GGA-PBE.

POSCAR file:
```
LiSn2Ge2
1.0
-1.9083 1.9083 8.0442
1.9083 -1.9083 8.0442
1.9083 1.9083 -8.0442
Li Sn Ge
1 2 2
Cartesian
0.0000 0.0000 0.0000
0.0000 0.0000 6.4640
0.0000 0.0000 9.6243
1.9083 0.0000 4.0221
0.0000 1.9083 4.0221
```

Values from the calculation:
Energy of formation in eV per atom: 0.0878
Total moment in μB/f.u.: 0.0
Offset from the most stable computed form in eV/atom: 0.061

=====

(5)
A relaxed structure of Ac2SiAg2O6. Source: Alexandria via LeMat-Bulk, functional GGA-PBE.

POSCAR file:
```
Ac2SiAg2O6
1.0
3.0074 -5.4429 0.0000
3.0074 5.4429 0.0000
-0.4449 0.0000 6.1551
Ac Si Ag O
2 1 2 6
Cartesian
3.0074 3.6642 0.0000
3.0074 -3.6642 0.0000
3.0074 0.0000 0.0000
2.7849 1.4495 3.0775
2.7849 -1.4495 3.0775
1.0020 0.0000 5.2866
2.2901 1.4067 1.0495
3.2796 1.4067 5.1056
2.2901 -1.4067 1.0495
3.2796 -1.4067 5.1056
4.5678 0.0000 0.8685
```

Values from the calculation:
Total moment in μB/f.u.: 0.0
Formation energy without anion corrections in meV/atom: -2077.0

=====

(6)
A relaxed structure of LaTbNd2Er. Source: Alexandria via LeMat-Bulk, functional GGA-PBE.

POSCAR file:
```
LaTbNd2Er
1.0
8.6258 0.0000 0.0000
0.0000 6.5297 0.0000
-0.8764 0.0000 6.2654
La Tb Nd Er
2 2 4 2
Cartesian
0.0000 0.0000 0.0000
-0.4382 0.0000 3.1327
-0.2191 2.8892 1.5664
-0.6573 3.6405 4.6991
2.0852 2.0405 4.4155
2.5234 4.4892 1.2828
5.2259 2.0405 4.9826
5.6641 4.4892 1.8499
4.0938 1.0820 1.5664
3.6556 5.4477 4.6991
```

Values from the calculation:
Energy of formation in eV per atom: 0.2756
Total moment in μB/f.u.: 0.0

=====

(7)
A relaxed structure of PmTmTePb. Source: Alexandria via LeMat-Bulk, functional GGA-PBE.

POSCAR file:
```
PmTmTePb
1.0
2.2253 1.2848 7.2599
-2.2253 1.2848 7.2599
0.0000 -2.5696 7.2599
Pm Tm Te Pb
1 1 1 1
Cartesian
0.0000 0.0000 0.0000
0.0000 0.0000 10.7501
0.0000 0.0000 5.2927
0.0000 0.0000 16.3371
```

Values from the calculation:
Total moment in μB/f.u.: 0.0
Formation energy without anion corrections in meV/atom: -929.4

=====

(8)
A relaxed structure of MnGaRe2I. Source: Alexandria via LeMat-Bulk, functional GGA-PBE.

POSCAR file:
```
MnGaRe2I
1.0
4.8733 0.0000 0.0000
0.0000 4.8733 0.0000
0.0000 0.0000 4.7061
Mn Ga Re I
1 1 2 1
Cartesian
0.0000 0.0000 0.0000
2.4367 2.4367 0.0000
0.0000 2.4367 2.3530
2.4367 0.0000 2.3530
0.0000 0.0000 2.3530
```

Values from the calculation:
Total moment in μB/f.u.: 3.3
Formation energy without anion corrections in meV/atom: 2351.9

=====

(9)
A relaxed structure of SrBeFeN2. Source: Alexandria via LeMat-Bulk, functional GGA-PBE.

POSCAR file:
```
SrBeFeN2
1.0
4.6269 0.0000 0.0000
0.0000 4.6269 0.0000
0.0000 0.0000 5.7118
Sr Be Fe N
1 1 1 2
Cartesian
0.0000 0.0000 0.0000
2.3134 2.3134 2.8559
0.0000 0.0000 2.8559
0.0000 2.3134 0.0000
2.3134 0.0000 0.0000
```

Values from the calculation:
Total moment in μB/f.u.: 3.6
Formation energy without anion corrections in meV/atom: 2824.7

=====

(10)
A relaxed structure of Sm3Ho4. Source: Alexandria via LeMat-Bulk, functional GGA-PBE.

POSCAR file:
```
Sm3Ho4
1.0
5.6423 -2.5223 0.0000
5.6423 2.5223 0.0000
-1.1332 0.0000 7.8944
Sm Ho
3 4
Cartesian
0.0000 0.0000 0.0000
2.2604 0.0000 6.7516
7.8910 0.0000 1.1427
1.1214 0.0000 3.3893
4.5022 0.0000 2.2817
5.6492 0.0000 5.6127
9.0301 0.0000 4.5050
```

Values from the calculation:
Energy of formation in eV per atom: 0.0186
Total moment in μB/f.u.: 0.0

=====

(11)
A relaxed structure of Sc5TlPd2. Source: Alexandria via LeMat-Bulk, functional GGA-PBE.

POSCAR file:
```
Sc5TlPd2
1.0
-3.7107 3.7107 6.2366
3.7107 -3.7107 6.2366
3.7107 3.7107 -6.2366
Sc Tl Pd
10 2 4
Cartesian
0.0000 0.0000 0.0000
4.8492 1.1385 -1.7996
1.1385 2.5721 -1.7996
4.8492 1.1385 1.7996
1.1385 2.5721 1.7996
0.0000 0.0000 6.2366
2.5721 1.1385 4.4370
-1.1385 2.5721 4.4370
2.5721 1.1385 8.0362
-1.1385 2.5721 8.0362
0.0000 0.0000 3.1183
0.0000 0.0000 9.3549
2.6837 1.0270 0.0000
2.6837 -1.0270 6.2366
1.0270 4.7376 0.0000
1.0270 2.6837 6.2366
```

Values from the calculation:
Energy of formation in eV per atom: -0.5345
Total moment in μB/f.u.: 0.0

=====

(12)
A relaxed structure of Er4Sb2TePb. Source: Alexandria via LeMat-Bulk, functional GGA-PBE.

POSCAR file:
```
Er4Sb2TePb
1.0
7.5784 0.0000 0.0000
0.0000 4.3384 0.0000
-2.4868 0.0000 7.1602
Er Sb Te Pb
4 2 1 1
Cartesian
1.2429 0.0000 1.7326
-0.0022 2.1692 5.3775
5.0938 2.1692 1.7827
3.8487 0.0000 5.4277
-1.2434 0.0000 3.5801
0.0000 2.1692 0.0000
2.5458 2.1692 3.5801
3.7892 0.0000 0.0000
```

Values from the calculation:
Total moment in μB/f.u.: 0.0
Formation energy without anion corrections in meV/atom: -991.9

=====

(13)
A relaxed structure of Dy3YHo4S8. Source: Alexandria via LeMat-Bulk, functional GGA-PBE.

POSCAR file:
```
Dy3YHo4S8
1.0
3.8962 2.2494 6.3659
-3.8962 2.2494 6.3659
0.0000 -4.4989 6.3659
Dy Y Ho S
3 1 4 8
Cartesian
-1.9481 -1.1247 6.3659
-1.9481 1.1247 12.7317
0.0000 2.2494 6.3659
0.0000 0.0000 0.0000
-3.8962 0.0000 9.5488
-1.9481 1.1247 3.1829
1.9481 1.1247 3.1829
0.0000 0.0000 9.5488
0.0000 0.0000 4.7603
-1.9447 -1.1228 11.1234
0.0000 -2.2456 7.9742
-1.9447 1.1228 7.9742
1.9447 -1.1228 11.1234
0.0000 2.2456 11.1234
1.9447 1.1228 7.9742
0.0000 0.0000 14.3373
```

Values from the calculation:
Total moment in μB/f.u.: 0.0
Formation energy without anion corrections in meV/atom: -1979.7

=====

(14)
A relaxed structure of Nd4ZnTe. Source: Alexandria via LeMat-Bulk, functional GGA-PBE.

POSCAR file:
```
Nd4ZnTe
1.0
6.9698 0.0000 0.0000
0.0000 6.4644 0.0000
-0.1318 0.0000 8.3289
Nd Zn Te
8 2 2
Cartesian
0.6514 1.6161 0.5352
0.7864 4.8483 3.1224
2.6232 3.2374 6.2134
2.6232 6.4593 6.2134
4.2148 0.0052 2.1155
4.2148 3.2270 2.1155
6.0516 1.6161 5.2065
6.1866 4.8483 7.7937
2.2484 4.8483 0.4567
4.5896 1.6161 7.8721
1.7248 1.6161 3.5277
5.1132 4.8483 4.8012
```

Values from the calculation:
Total moment in μB/f.u.: 0.0
Formation energy without anion corrections in meV/atom: -482.1

=====

(15)
A relaxed structure of Ba2ScU3O12. Source: Alexandria via LeMat-Bulk, functional GGA-PBE.

POSCAR file:
```
Ba2ScU3O12
1.0
4.0184 2.3201 6.1097
-4.0184 2.3201 6.1097
0.0000 -4.6401 6.1097
Ba Sc U O
2 1 3 12
Cartesian
0.0000 0.0000 3.2686
0.0000 0.0000 15.0606
0.0000 0.0000 9.1646
-2.0092 -1.1600 6.1097
-2.0092 1.1600 12.2194
0.0000 2.3200 6.1097
0.0000 -1.6795 5.4570
-1.4544 0.8397 5.4570
-1.5499 -0.8949 8.0353
0.0000 -1.7897 10.2939
-1.5499 0.8948 10.2939
-1.4544 -0.8397 12.8722
1.4544 0.8397 5.4570
1.5499 -0.8949 8.0353
0.0000 1.7897 8.0353
1.5499 0.8949 10.2939
1.4545 -0.8397 12.8722
0.0000 1.6795 12.8722
```

Values from the calculation:
Total moment in μB/f.u.: 1.0
Formation energy without anion corrections in meV/atom: -3137.5

=====

(16)
A relaxed structure of LiYSn2Rh4. Source: Alexandria via LeMat-Bulk, functional GGA-PBE.

POSCAR file:
```
LiYSn2Rh4
1.0
2.2692 1.3101 7.5118
-2.2692 1.3101 7.5118
0.0000 -2.6203 7.5118
Li Y Sn Rh
1 1 2 4
Cartesian
0.0000 0.0000 0.0000
0.0000 0.0000 11.2677
0.0000 0.0000 5.7490
0.0000 0.0000 16.7863
0.0000 0.0000 2.6770
0.0000 0.0000 8.4200
0.0000 0.0000 14.1153
0.0000 0.0000 19.8583
```

Values from the calculation:
Energy of formation in eV per atom: -0.6653
Total moment in μB/f.u.: 0.0

=====

(17)
A relaxed structure of Li2RhBr. Source: Alexandria via LeMat-Bulk, functional GGA-PBE.

POSCAR file:
```
Li2RhBr
1.0
0.0000 3.1286 3.1286
3.1286 0.0000 3.1286
3.1286 3.1286 0.0000
Li Rh Br
2 1 1
Cartesian
0.0000 0.0000 0.0000
1.5643 1.5643 1.5643
4.6929 4.6929 4.6929
3.1286 3.1286 3.1286
```

Values from the calculation:
Total moment in μB/f.u.: 0.0
Formation energy without anion corrections in meV/atom: -107.0
Offset from the most stable computed form in eV/atom: 0.283

=====

(18)
A relaxed structure of YInSnAs2. Source: Alexandria via LeMat-Bulk, functional GGA-PBE.

POSCAR file:
```
YInSnAs2
1.0
5.4130 0.0000 0.0000
0.0000 5.4130 0.0000
0.0000 0.0000 5.8790
Y In Sn As
1 1 1 2
Cartesian
0.0000 0.0000 0.0000
2.7065 2.7065 2.9395
0.0000 0.0000 2.9395
0.0000 2.7065 0.0000
2.7065 0.0000 0.0000
```

Values from the calculation:
Energy of formation in eV per atom: 0.2475
Total moment in μB/f.u.: 0.0

=====

(19)
A relaxed structure of CeSc2Pd3. Source: Alexandria via LeMat-Bulk, functional GGA-PBE.

POSCAR file:
```
CeSc2Pd3
1.0
3.3069 0.0000 0.0000
0.0000 3.3069 0.0000
0.0000 0.0000 10.6858
Ce Sc Pd
1 2 3
Cartesian
0.0000 0.0000 0.0000
0.0000 0.0000 3.6616
0.0000 0.0000 7.0243
1.6534 1.6534 2.1281
1.6534 1.6534 5.3429
1.6534 1.6534 8.5577
```

Values from the calculation:
Energy of formation in eV per atom: -0.8122
Total moment in μB/f.u.: 0.9

=====

(20)
A relaxed structure of SmHg2Au. Source: Alexandria via LeMat-Bulk, functional GGA-PBE.

POSCAR file:
```
SmHg2Au
1.0
0.0000 3.5911 3.5911
3.5911 0.0000 3.5911
3.5911 3.5911 0.0000
Sm Hg Au
1 2 1
Cartesian
0.0000 0.0000 0.0000
1.7955 1.7955 1.7955
3.5911 3.5911 3.5911
5.3866 5.3866 5.3866
```

Values from the calculation:
Energy of formation in eV per atom: -0.4656
Total moment in μB/f.u.: 0.0

=====

(21)
A relaxed structure of Al2HgI. Source: Alexandria via LeMat-Bulk, functional GGA-PBE.

POSCAR file:
```
Al2HgI
1.0
0.0000 3.7524 3.7524
3.7524 0.0000 3.7524
3.7524 3.7524 0.0000
Al Hg I
2 1 1
Cartesian
1.8762 1.8762 1.8762
5.6286 5.6286 5.6286
0.0000 0.0000 0.0000
3.7524 3.7524 3.7524
```

Values from the calculation:
Total moment in μB/f.u.: 0.0
Formation energy without anion corrections in meV/atom: 383.2
Offset from the most stable computed form in eV/atom: 0.105

=====

(22)
A relaxed structure of PrSO4. Source: Alexandria via LeMat-Bulk, functional GGA-PBE.

POSCAR file:
```
PrSO4
1.0
-3.7050 3.7050 3.2173
3.7050 -3.7050 3.2173
3.7050 3.7050 -3.2173
Pr S O
2 2 8
Cartesian
3.7050 1.8525 0.8043
0.0000 1.8525 2.4130
3.7050 -1.8525 2.4130
0.0000 5.5575 0.8043
3.7050 -0.6005 1.3628
3.7050 3.1045 -1.3628
1.2520 1.8525 0.2458
2.4530 -1.8525 3.4631
1.2520 5.5575 -0.2458
2.4530 1.8525 2.9715
0.0000 0.6005 4.5802
0.0000 4.3055 1.8545
```

Values from the calculation:
Total moment in μB/f.u.: 0.0
Formation energy without anion corrections in meV/atom: -1838.6

=====

(23)
A relaxed structure of Tb3PuH. Source: Alexandria via LeMat-Bulk, functional GGA-PBE.

POSCAR file:
```
Tb3PuH
1.0
4.9499 0.0000 0.0000
0.0000 4.9499 0.0000
0.0000 0.0000 4.9499
Tb Pu H
3 1 1
Cartesian
0.0000 0.0000 2.4750
0.0000 2.4750 0.0000
2.4750 0.0000 0.0000
2.4750 2.4750 2.4750
0.0000 0.0000 0.0000
```

Values from the calculation:
Total moment in μB/f.u.: 6.0
Electronic total energy in eV per atom: -6.39

=====

(24)
A relaxed structure of Ca2Cd2Sb. Source: Alexandria via LeMat-Bulk, functional GGA-PBE.

POSCAR file:
```
Ca2Cd2Sb
1.0
7.8777 0.0000 0.0000
0.0000 7.8777 0.0000
0.0000 0.0000 4.5938
Ca Cd Sb
4 4 2
Cartesian
1.3732 2.5656 0.0000
2.5656 6.5045 0.0000
5.3121 1.3732 0.0000
6.5045 5.3121 0.0000
1.0021 4.9409 2.2969
2.9368 1.0021 2.2969
4.9409 6.8756 2.2969
6.8756 2.9368 2.2969
0.0000 0.0000 2.2969
3.9388 3.9388 2.2969
```

Values from the calculation:
Total moment in μB/f.u.: 0.0
Formation energy without anion corrections in meV/atom: -422.2
Offset from the most stable computed form in eV/atom: 0.000